# Y2AgGeN

Crystalline Y2AgGeN at its relaxed geometry (PBE-GGA, Alexandria via LeMat-Bulk).

Lattice parameters (Å, degrees): 5.5632 3.8135 5.5632 90.00 90.00 90.00
Last column: nearest neighbours and their distance in Å.
Element x y z (fractional)
Y  0.0000  0.0000  0.5000  2 Ge 2.78
Y  0.5000  0.0000  0.0000  2 Ge 2.78
Ge  0.0000  0.0000  0.0000  2 N 1.91
Ag  0.5000  0.5000  0.5000  8 Y 3.37
N  0.0000  0.5000  0.0000  2 Ge 1.91

Output
- ΔE_f (raw) (kJ per mole of atoms) = 39.59
- N(E_F) (states/eV per cell) = 6.8
- SG = P4/mmm, No. 123